No. 1
This record from Alexandria describes Ni20Sn3B6 after structural relaxation. The functional is GGA-PBE.

total magnetic moment = 0.00 μB/cell
DFT formation energy = -0.269 eV/atom

abc: 10.6926 10.6926 10.6926
angles: 90.00 90.00 90.00
Last column: nearest neighbours and their distance in Å.
Space group Fm-3m (No. 225)
One atom of each set of equivalent atoms:
Ni: 0.0000 0.1706 0.1706 x48  2 B 2.14
Ni: 0.1144 0.1144 0.3856 x32  3 B 2.09
Sn: 0.0000 0.0000 0.0000 x4  12 Ni 2.58
Sn: 0.2500 0.2500 0.2500 x8  4 Ni 2.51
B: 0.0000 0.0000 0.2753 x24  8 Ni 2.09-2.14



No. 2
This record from Alexandria describes Li2SiSb after structural relaxation. The functional is GGA-PBE.

raw formation energy = -0.0274 eV/atom
offset from the most stable computed form = 193.0 meV/atom
total magnetic moment = 0.67 μB/cell

abc: 3.1639 3.1639 26.5105
angles: 90.00 90.00 120.00
Last column: nearest neighbours and their distance in Å.
Space group R-3m (No. 166, hexagonal axes)
One atom of each set of equivalent atoms:
Li: 0.0000 0.0000 0.2471 x6  3 Si 2.81, 3 Sb 2.93
Si: 0.0000 0.0000 0.5000 x3  6 Li 2.81
Sb: 0.0000 0.0000 0.0000 x3  6 Li 2.93, 6 Sb 3.16



No. 3
This record from Alexandria describes Pu3Mn4Ge2 after structural relaxation. The functional is GGA-PBE.

total magnetic moment = 13.59 μB/cell
DFT formation energy = 0.006 eV/atom

abc: 10.8025 11.3647 5.4019
angles: 90.00 104.24 90.00
Last column: nearest neighbours and their distance in Å.
Space group C2/c (No. 15)
One atom of each set of equivalent atoms:
Pu: 0.0000 0.1042 0.2500 x4  6 Ge 3.06-3.15, 6 Mn 3.10-3.25
Pu: 0.1032 0.3793 0.5374 x8  3 Mn 2.41-2.52
Mn: 0.1250 0.3341 0.0554 x8  2 Pu 2.45-2.72, 2 Ge 2.52-2.56, 2 Mn 2.65-2.68
Mn: 0.2499 0.0061 0.1455 x8  2 Pu 2.41-2.52, 2 Ge 2.45-2.48, 2 Mn 2.65-2.68
Ge: 0.1313 0.1447 0.8162 x8  4 Mn 2.45-2.56



No. 4
This record from Alexandria describes TaCo2Hg after structural relaxation. The functional is GGA-PBE.

total magnetic moment = 0.00 μB/cell
DFT formation energy = 0.246 eV/atom

abc: 3.8770 3.2859 9.5253
angles: 90.00 90.00 90.00
Last column: nearest neighbours and their distance in Å.
Space group Amm2 (No. 38)
One atom of each set of equivalent atoms:
Ta: 0.0000 0.0000 0.0000 x2  6 Co 2.53-2.60
Co: 0.0000 0.0000 0.7015 x2  2 Co 2.36, 2 Ta 2.53
Co: 0.5000 0.0000 0.5600 x2  2 Co 2.36, 1 Hg 2.56, 4 Ta 2.60
Hg: 0.5000 0.0000 0.2913 x2  7 Co 2.56-2.75



No. 5
This record from Alexandria describes PmInSn3 after structural relaxation. The functional is GGA-PBE.

offset from the most stable computed form = 0.0 meV/atom
total magnetic moment = 0.00 μB/cell
DFT formation energy = -0.223 eV/atom

abc: 4.9812 6.4409 9.3905
angles: 90.00 90.00 90.00
Last column: nearest neighbours and their distance in Å.
Space group Pmmn (No. 59, origin choice 2)
One atom of each set of equivalent atoms:
Pm: 0.2500 0.2500 0.0918 x2  8 Sn 3.19-3.38
In: 0.2500 0.7500 0.4563 x2  7 Sn 3.14-3.47
Sn: 0.2500 0.0069 0.7400 x4  4 Sn 3.13-3.31, 3 In 3.14-3.47, 2 Pm 3.38
Sn: 0.2500 0.7500 0.1209 x2  1 In 3.15, 4 Pm 3.19-3.23, 4 Sn 3.22



No. 6
This record from Alexandria describes NaUGe2 after structural relaxation. The functional is GGA-PBE.

offset from the most stable computed form = 42.5 meV/atom
total magnetic moment = 1.08 μB/cell
DFT formation energy = -0.097 eV/atom

abc: 2.8605 2.8605 9.6509
angles: 90.00 90.00 90.00
Last column: nearest neighbours and their distance in Å.
Space group P4/mmm (No. 123)
One atom of each set of equivalent atoms:
Na: 0.0000 0.0000 0.0000 x1  4 Na 2.86, 8 Ge 3.17
U: 0.0000 0.0000 0.5000 x1  4 U 2.86, 8 Ge 3.12
Ge: 0.5000 0.5000 0.2532 x2  4 Ge 2.86, 4 U 3.12, 4 Na 3.17



No. 7
This record from Alexandria describes Li9Mg4Ag11 after structural relaxation. The functional is GGA-PBE.

total magnetic moment = 0.00 μB/cell
DFT formation energy = -0.197 eV/atom

abc: 14.1425 19.5491 2.9933
angles: 90.00 90.00 90.00
Last column: nearest neighbours and their distance in Å.
Space group Cmmm (No. 65)
One atom of each set of equivalent atoms:
Li: 0.0000 0.0000 0.0000 x2  4 Mg 2.88, 4 Ag 2.90, 2 Li 2.99
Li: 0.1060 0.4060 0.0000 x8  8 Ag 2.76-2.81, 3 Li 2.99-3.00
Li: 0.1134 0.2265 0.0000 x8  8 Ag 2.77-2.94, 1 Mg 2.87, 2 Li 2.99
Mg: 0.1668 0.0849 0.0000 x8  6 Ag 2.86-2.91, 2 Li 2.87-2.88, 2 Mg 2.99
Ag: 0.0000 0.1268 0.5000 x4  6 Li 2.90-2.93, 4 Mg 2.91, 2 Ag 2.99
Ag: 0.0000 0.3134 0.5000 x4  8 Li 2.77-2.79, 2 Ag 2.99
Ag: 0.0000 0.5000 0.5000 x2  8 Li 2.81, 4 Ag 2.93-2.99
Ag: 0.2070 0.5000 0.5000 x4  4 Li 2.77, 4 Mg 2.86, 3 Ag 2.93-2.99
Ag: 0.2200 0.3206 0.5000 x8  6 Li 2.76-2.94, 2 Mg 2.87, 3 Ag 2.89-2.99



No. 8
This record from Alexandria describes La2CuW after structural relaxation. The functional is GGA-PBE.

offset from the most stable computed form = 45.2 meV/atom
total magnetic moment = 0.00 μB/cell
DFT formation energy = 0.402 eV/atom

abc: 3.4973 3.4973 8.2833
angles: 90.00 90.00 90.00
Last column: nearest neighbours and their distance in Å.
Space group P4mm (No. 99)
One atom of each set of equivalent atoms:
La: 0.0000 0.0000 0.0000 x1  1 W 2.76, 4 Cu 3.09
La: 0.5000 0.5000 0.4143 x1  1 Cu 3.00, 4 W 3.24
Cu: 0.5000 0.5000 0.7762 x1  4 W 2.63
W: 0.0000 0.0000 0.6668 x1  4 Cu 2.63, 1 La 2.76



No. 9
This record from Alexandria describes GeIBr3 after structural relaxation. The functional is GGA-PBE.

raw formation energy = -0.5184 eV/atom
offset from the most stable computed form = 0.0 meV/atom
total magnetic moment = 0.00 μB/cell

abc: 7.0619 7.1360 9.6512
angles: 89.92 89.99 89.98
Last column: nearest neighbours and their distance in Å.
Space group P1 (No. 1)
One atom of each set of equivalent atoms:
Ge: 0.0000 0.0000 0.0000 x1  3 Br 2.31-2.32, 1 I 2.51
Ge: 0.4971 0.3472 0.4992 x1  3 Br 2.31-2.32, 1 I 2.51
I: 0.0794 0.3430 0.9955 x1  1 Ge 2.51
I: 0.5773 0.0043 0.5039 x1  1 Ge 2.51
Br: 0.1261 0.8512 0.8072 x1  1 Ge 2.32
Br: 0.1290 0.8583 0.1947 x1  1 Ge 2.32
Br: 0.1734 0.3971 0.4994 x1  1 Ge 2.31
Br: 0.6239 0.4884 0.3034 x1  1 Ge 2.32
Br: 0.6253 0.4963 0.6910 x1  1 Ge 2.32
Br: 0.6764 0.9497 0.0018 x1  1 Ge 2.31



No. 10
This record from Alexandria describes Er2Co2Si2H after structural relaxation. The functional is GGA-PBE.

total magnetic moment = 0.00 μB/cell
E_tot = -6.063 eV per atom

abc: 10.1137 3.9717 6.7221
angles: 90.00 130.59 90.00
Last column: nearest neighbours and their distance in Å.
Space group C2/m (No. 12)
One atom of each set of equivalent atoms:
Er: 0.0543 0.0000 0.2916 x4  2 H 2.59, 1 Co 2.87, 1 Si 2.89
Co: 0.2043 0.5000 0.0977 x4  1 H 1.71
Si: 0.1614 0.5000 0.7115 x4  3 Co 2.27-2.34
H: 0.0000 0.5000 0.0000 x2  2 Co 1.71



No. 11
This record from Alexandria describes Nd2CuN after structural relaxation. The functional is GGA-PBE.

raw formation energy = -0.5968 eV/atom
total magnetic moment = 0.00 μB/cell

abc: 3.7105 3.7105 21.1776
angles: 90.00 90.00 120.00
Last column: nearest neighbours and their distance in Å.
Space group R-3m (No. 166, hexagonal axes)
One atom of each set of equivalent atoms:
Nd: 0.0000 0.0000 0.2326 x6  3 N 2.56
Cu: 0.0000 0.0000 0.0000 x3  6 Nd 3.02
N: 0.0000 0.0000 0.5000 x3  6 Nd 2.56



No. 12
This record from Alexandria describes La5PmNd2Cd after structural relaxation. The functional is GGA-PBE.

total magnetic moment = 0.00 μB/cell
DFT formation energy = 0.014 eV/atom

abc: 5.7066 20.0866 11.1311
angles: 90.00 90.00 90.00
Last column: nearest neighbours and their distance in Å.
Space group Cmcm (No. 63)
One atom of each set of equivalent atoms:
La: 0.0000 0.0000 0.0000 x4  2 Cd 3.34, 2 La 3.70, 4 Nd 3.72
La: 0.0000 0.1215 0.2500 x4  4 Nd 3.67, 6 La 3.70-3.91, 1 Pm 3.76
La: 0.0000 0.2109 0.5502 x8  1 Cd 3.26, 2 La 3.44, 3 Nd 3.47-3.58, 2 Pm 3.64
La: 0.0000 0.4885 0.2500 x4  2 Cd 3.28, 2 Nd 3.45, 1 Pm 3.61
Pm: 0.0000 0.3086 0.2500 x4  2 Cd 3.48, 2 Nd 3.60, 8 La 3.61-3.88
Nd: 0.0000 0.3838 0.5431 x8  8 La 3.45-3.72, 1 Pm 3.60
Cd: 0.0000 0.0919 0.7500 x4  6 La 3.26-3.34, 2 Pm 3.48



No. 13
This record from Alexandria describes AcY2MoN4 after structural relaxation. The functional is GGA-PBE.

raw formation energy = -1.1132 eV/atom
total magnetic moment = 0.00 μB/cell

abc: 3.5019 12.1444 12.0114
angles: 90.00 90.00 90.00
Last column: nearest neighbours and their distance in Å.
Space group Cmcm (No. 63)
One atom of each set of equivalent atoms:
Ac: 0.0000 0.0838 0.2500 x4  2 N 2.63
Y: 0.0000 0.3705 0.0409 x8  5 N 2.31-2.54
Mo: 0.0000 0.1753 0.7500 x4  4 N 1.91-2.11
N: 0.0000 0.0000 0.0000 x4  4 Y 2.40
N: 0.0000 0.2616 0.6169 x8  1 Mo 1.91
N: 0.0000 0.4218 0.2500 x4  2 Mo 2.11



No. 14
This record from Alexandria describes CsY2Rh after structural relaxation. The functional is GGA-PBE.

offset from the most stable computed form = 110.8 meV/atom
total magnetic moment = 0.00 μB/cell
DFT formation energy = 0.385 eV/atom

abc: 7.5431 7.5431 7.5431
angles: 90.00 90.00 90.00
Last column: nearest neighbours and their distance in Å.
Space group Fm-3m (No. 225)
One atom of each set of equivalent atoms:
Cs: 0.0000 0.0000 0.0000 x4  8 Y 3.27
Y: 0.2500 0.2500 0.2500 x8  4 Rh 3.27, 4 Cs 3.27
Rh: 0.0000 0.0000 0.5000 x4  8 Y 3.27



No. 15
This record from Alexandria describes LiZnP2 after structural relaxation. The functional is GGA-PBE.

total magnetic moment = 0.00 μB/cell
DFT formation energy = -0.072 eV/atom

abc: 2.5756 3.6988 7.3163
angles: 90.00 90.00 90.00
Last column: nearest neighbours and their distance in Å.
Space group Pmm2 (No. 25)
One atom of each set of equivalent atoms:
Li: 0.0000 0.0000 0.0000 x1  5 P 2.55, 2 Li 2.58
Zn: 0.5000 0.5000 0.5198 x1  5 P 2.33-2.58, 2 Zn 2.58
P: 0.0000 0.0000 0.3482 x1  1 Li 2.55, 2 P 2.58, 4 Zn 2.58
P: 0.5000 0.5000 0.8383 x1  1 Zn 2.33, 4 Li 2.55, 2 P 2.58



No. 16
This record from Alexandria describes TbAlSe2 after structural relaxation. The functional is GGA-PBE.

raw formation energy = -0.7527 eV/atom
total magnetic moment = 0.00 μB/cell

abc: 3.7529 3.7529 25.4902
angles: 90.00 90.00 120.00
Last column: nearest neighbours and their distance in Å.
Space group R-3m (No. 166, hexagonal axes)
One atom of each set of equivalent atoms:
Tb: 0.0000 0.0000 0.0000 x3  2 Se 2.84
Al: 0.0000 0.0000 0.5000 x3  6 Se 2.58
Se: 0.0000 0.0000 0.1116 x6  3 Al 2.58, 1 Tb 2.84



No. 17
This record from Alexandria describes LiSc3Zn2 after structural relaxation. The functional is GGA-PBE.

total magnetic moment = 0.00 μB/cell
DFT formation energy = -0.210 eV/atom

abc: 4.7701 4.7701 11.7166
angles: 90.00 90.00 120.00
Last column: nearest neighbours and their distance in Å.
Space group P-3m1 (No. 164)
One atom of each set of equivalent atoms:
Li: 0.3333 0.6667 0.1697 x2  8 Sc 2.93-2.96
Sc: 0.0000 0.0000 0.2545 x2  5 Zn 2.88-2.98, 3 Li 2.93
Sc: 0.3333 0.6667 0.4211 x2  7 Zn 2.90-2.97, 1 Li 2.95
Sc: 0.3333 0.6667 0.9174 x2  4 Zn 2.87-2.92, 4 Li 2.94-2.96
Zn: 0.0000 0.0000 0.0000 x1  8 Sc 2.92-2.98
Zn: 0.0000 0.0000 0.5000 x1  8 Sc 2.88-2.90
Zn: 0.3333 0.6667 0.6728 x2  8 Sc 2.87-2.97



No. 18
This record from Alexandria describes PaCuSi2 after structural relaxation. The functional is GGA-PBE.

raw formation energy = -0.2489 eV/atom
total magnetic moment = 0.00 μB/cell

abc: 4.1776 4.1776 4.0312
angles: 90.00 90.00 90.00
Last column: nearest neighbours and their distance in Å.
Space group P4/mmm (No. 123)
One atom of each set of equivalent atoms:
Pa: 0.0000 0.0000 0.0000 x1  8 Si 2.90, 4 Cu 2.95
Cu: 0.5000 0.5000 0.0000 x1  8 Si 2.90, 4 Pa 2.95
Si: 0.0000 0.5000 0.5000 x2  4 Cu 2.90, 4 Pa 2.90, 4 Si 2.95



No. 19
This record from Alexandria describes RbOsRh after structural relaxation. The functional is GGA-PBE.

offset from the most stable computed form = 1.7 meV/atom
total magnetic moment = 0.48 μB/cell
DFT formation energy = 0.480 eV/atom

abc: 7.3339 4.2371 12.1768
angles: 90.00 105.25 90.00
Last column: nearest neighbours and their distance in Å.
Space group Cm (No. 8)
One atom of each set of equivalent atoms:
Rb: 0.0000 0.0000 0.0000 x2  3 Rh 3.36, 1 Os 3.61
Rb: 0.2318 0.5000 0.3852 x2  3 Rh 3.36, 1 Os 3.61
Os: 0.1990 0.0000 0.6927 x2  3 Os 2.45
Os: 0.3656 0.5000 0.6927 x2  3 Os 2.45
Rh: 0.0810 0.5000 0.8044 x2  1 Rh 2.62, 6 Os 2.77-2.78
Rh: 0.4835 0.0000 0.5810 x2  1 Rh 2.62, 6 Os 2.77-2.78



No. 20
This record from Alexandria describes Ho3Mg2Ni2 after structural relaxation. The functional is GGA-PBE.

total magnetic moment = 0.58 μB/cell
DFT formation energy = -0.295 eV/atom

abc: 3.8995 22.0986 3.6600
angles: 90.00 90.00 90.00
Last column: nearest neighbours and their distance in Å.
Space group Cmmm (No. 65)
One atom of each set of equivalent atoms:
Ho: 0.0000 0.0000 0.0000 x2  8 Mg 3.32, 2 Ho 3.66
Ho: 0.0000 0.1785 0.0000 x4  6 Ni 2.81-2.93
Mg: 0.0000 0.4113 0.5000 x4  1 Ni 2.85
Ni: 0.0000 0.2822 0.5000 x4  2 Ni 2.41



No. 21
This record from Alexandria describes Np2Zn16Cd after structural relaxation. The functional is GGA-PBE.

total magnetic moment = 25.08 μB/cell
DFT formation energy = -0.046 eV/atom

abc: 9.0572 9.0572 13.2679
angles: 90.00 90.00 120.00
Last column: nearest neighbours and their distance in Å.
Space group R3m (No. 160, hexagonal axes)
One atom of each set of equivalent atoms:
Np: 0.0000 0.0000 0.0000 x3  13 Zn 3.05-3.40
Np: 0.0000 0.0000 0.3198 x3  18 Zn 3.18-3.54, 1 Cd 3.23
Zn: 0.0000 0.0000 0.7704 x3  6 Zn 2.67-2.85, 1 Cd 2.75
Zn: 0.9998 0.3005 0.6614 x18  8 Zn 2.60-2.80
Zn: 0.0127 0.5064 0.8125 x9  8 Zn 2.56-2.80
Zn: 0.1701 0.3403 0.4945 x9  9 Zn 2.60-2.70, 1 Cd 2.82
Zn: 0.1714 0.3428 0.8426 x9  9 Zn 2.56-2.85
Cd: 0.0000 0.0000 0.5630 x3  13 Zn 2.75-3.02



No. 22
This record from Alexandria describes Tl6CdHg10 after structural relaxation. The functional is GGA-PBE.

total magnetic moment = 0.00 μB/cell
DFT formation energy = 0.010 eV/atom

abc: 9.2550 9.2550 6.6535
angles: 90.00 90.00 120.00
Last column: nearest neighbours and their distance in Å.
Space group P-31m (No. 162)
One atom of each set of equivalent atoms:
Tl: 0.0000 0.3898 0.2707 x6  8 Hg 3.21-3.38
Cd: 0.0000 0.0000 0.5000 x1  6 Hg 3.10
Hg: 0.0000 0.2532 0.8052 x6  1 Cd 3.10, 4 Tl 3.21-3.35
Hg: 0.3333 0.6667 0.0000 x2  2 Hg 3.33, 6 Tl 3.38
Hg: 0.3333 0.6667 0.5000 x2  6 Tl 3.24, 2 Hg 3.33